(1)
The following is a DFT calculation (PBE with a Hubbard U) of crystalline Ba2FeCuO4 at its relaxed geometry.

## Properties
VASP energy in eV per cell: -46.97
Size of the total moment in μB per formula unit: 5.04
Space-group type: No. 82

a b c (Å): 5.5808 5.5808 5.5808
angles (deg): 100.46 114.16 114.16
Each line ends with the local moment (μB).
Sites, in units of the cell vectors:
Ba 0.5000 0.7500 0.2500  0.01
Ba 0.0000 0.0000 0.0000  0.01
Fe 0.0000 0.5000 0.5000  4.16
Cu 0.5000 0.2500 0.7500  0.14
O 0.6193 0.4157 0.4797  0.14
O 0.0640 0.2036 0.5843  0.14
O 0.9360 0.5203 0.1396  0.14
O 0.3807 0.8604 0.7964  0.14

(2)
The following is a DFT calculation (PBE with a Hubbard U) of crystalline Ba2FeCu2O6 at its relaxed geometry.

## Properties
VASP energy in eV per cell: -63.70
Size of the total moment in μB per formula unit: 2.05
Space-group type: No. 166

a b c (Å): 5.8671 5.8671 6.4070
angles (deg): 62.75 62.75 60.00
Each line ends with the local moment (μB).
Sites, in units of the cell vectors:
Ba 0.7780 0.7780 0.6659  0.01
Ba 0.2220 0.2220 0.3341  0.01
Fe 0.0000 0.0000 0.0000  4.22
Cu 0.4167 0.4167 0.7500  -0.55
Cu 0.5833 0.5833 0.2500  -0.55
O 0.7668 0.7668 0.2382  -0.16
O 0.2282 0.7668 0.2382  -0.16
O 0.7668 0.2282 0.2382  -0.16
O 0.2332 0.7718 0.7618  -0.16
O 0.7718 0.2332 0.7618  -0.16
O 0.2332 0.2332 0.7618  -0.16

(3)
The following is a DFT calculation (PBE with a Hubbard U) of crystalline BaPrFeCuO5 at its relaxed geometry.

## Properties
VASP energy in eV per cell: -60.05
Size of the total moment in μB per formula unit: 5.13
Space-group type: No. 99

a b c (Å): 3.9586 3.9586 8.0145
angles (deg): 90.00 90.00 90.00
Each line ends with the local moment (μB).
Sites, in units of the cell vectors:
Pr 0.5000 0.5000 0.2356  0.00
O 0.5000 0.0000 0.0379  0.03
O 0.0000 0.5000 0.0379  0.03
O 0.5000 0.0000 0.4207  0.17
O 0.0000 0.5000 0.4207  0.17
O 0.0000 0.0000 0.7182  0.21
Ba 0.5000 0.5000 0.7670  0.00
Cu 0.0000 0.0000 0.0142  0.10
Fe 0.0000 0.0000 0.4859  4.26

(4)
The following is a DFT calculation (PBE with a Hubbard U) of crystalline BaTmFeCuO5 at its relaxed geometry.

## Properties
VASP energy in eV per cell: -60.41
Size of the total moment in μB per formula unit: 5.12
Space-group type: No. 99

a b c (Å): 3.8660 3.8660 8.0270
angles (deg): 90.00 90.00 90.00
Each line ends with the local moment (μB).
Sites, in units of the cell vectors:
Ba 0.5000 0.5000 0.7509  0.00
Tm 0.5000 0.5000 0.2106  0.01
Fe 0.0000 0.0000 0.4462  4.29
Cu 0.0000 0.0000 0.0074  0.09
O 0.5000 0.0000 0.0253  0.03
O 0.0000 0.5000 0.0253  0.03
O 0.5000 0.0000 0.3716  0.17
O 0.0000 0.5000 0.3716  0.17
O 0.0000 0.0000 0.6791  0.19

The lowest size of the total moment belongs to which entry?
Ba2FeCu2O6

The lowest size of the total moment belongs to which entry?
Ba2FeCu2O6

Look up the size of the total moment of the fourth one.
5.12 μB per formula unit